Li2MnO2F after structural relaxation, computed with GGA+U.

Structure (extended XYZ):
```
24
Lattice="5.2174 0.0054 -0.1158 -2.5935 4.4494 0.0701 -0.8436 -1.4584 9.7395" Properties=species:S:1:pos:R:3 pbc="T T T"
Li -1.0868 0.0030 9.7283
Li 0.8529 -0.0809 4.8709
Li 2.4547 0.0306 0.0259
Li 2.7977 -0.0059 7.1759
Li -1.0153 2.9204 2.4788
Li -1.5695 1.4551 4.9471
Li 0.8611 2.8746 4.7648
Li 1.9405 1.6388 9.6434
Mn 0.0141 1.5690 7.3366
Mn -2.5154 2.9755 7.3616
Mn 4.3879 0.0533 2.3257
Mn 1.6959 1.4762 2.3809
O -0.6366 0.0614 6.2761
O 0.8680 0.1378 1.2518
O -1.7201 1.6247 8.5121
O 0.0889 1.4270 3.5354
O -0.8933 2.9099 6.2213
O 3.3846 1.3817 1.3218
O 1.0338 2.9177 8.2932
O 2.4513 2.9873 3.4197
F 0.9652 0.1698 8.5514
F 2.6253 -0.0611 3.7196
F 1.8232 1.4414 5.9186
F 0.8218 3.0929 1.1572
```

Output
V: 9.41 Å³/atom
E: -5.95 eV per atom
Space group: No. 1
Calculated density: 3.523 Mg/m³